DFT (GGA-PBE) results for a relaxed structure of BeS2ClF.

Cell: 4.0350 4.0350 5.6910 Å, 90.00 90.00 90.00°
Closest atoms and distances in Å follow each position.
Space group P4/mmm (No. 123)
Symmetry-distinct sites (fractional):
1 Be 0.0000 0.0000 0.0000  4 Cl 2.85
2 S 0.0000 0.5000 0.5000  2 F 2.02
3 Cl 0.5000 0.5000 0.0000  2 F 2.85, 4 Be 2.85
4 F 0.5000 0.5000 0.5000  4 S 2.02

energy above the most stable polymorph in this dataset: 3.013 eV/f.u.
energy relative to the elements, uncorrected: 0.788 eV/atom
volume: 18.53 Å³ per atom
E_tot: -11.76 eV per cell
magnetic moment: 0.0000 μB/atom


DFT (GGA-PBE) results for a relaxed structure of RbNaHgF6.

Cell: 5.9823 10.3914 5.8659 Å, 90.00 90.09 90.00°
Closest atoms and distances in Å follow each position.
Space group C2 (No. 5)
Symmetry-distinct sites (fractional):
1 Rb 0.0000 0.0000 0.0000  6 F 2.83
2 Na 0.0000 0.3336 0.5000  6 F 2.34
3 Hg 0.0000 0.6665 0.5000  6 F 2.13
4 F 0.1296 0.5134 0.2988  1 Hg 2.13, 1 Na 2.34
5 F 0.1639 0.8084 0.2995  1 Hg 2.13, 1 Na 2.34
6 F 0.2041 0.1779 0.2999  1 Hg 2.13, 1 Na 2.34

energy relative to the elements, uncorrected: -1.792 eV/atom
volume: 20.26 Å³ per atom
E_tot: -59.89 eV per cell
magnetic moment: 0.2222 μB/atom


The highest volume belongs to which entry? RbNaHgF6


Among the records above, which one has the highest energy relative to the elements, uncorrected? BeS2ClF


magnetic moment of number 2 (RbNaHgF6)? 0.2222 μB/atom